Here is crystalline Pm3Cd2In2 at its relaxed geometry from Alexandria via LeMat-Bulk. Energies are from PBE-GGA.

The structure belongs to space group Cmmm (No. 65); the cell edges are 4.8432, 22.6001 and 3.4652 Å and the angles 90.00°, 90.00° and 90.00°. Symmetry generates all atoms from Pm at (0.0000, 0.0000, 0.0000), Pm at (0.0000, 0.1544, 0.0000), Cd at (0.0000, 0.2838, 0.5000) and In at (0.0000, 0.4225, 0.5000).

As for the density of states at the Fermi level: 7.17 states/eV/f.u. For the total moment, the calculation gives 0.21 μB/f.u. The electronic total energy is -3.48 eV/atom. The theoretical density comes out at 7.79 g cm⁻³.